! NpCoH2O6 | Alexandria via LeMat-Bulk | PBE+U | optimized geometry; values from VASP
! Total DFT energy (no corrections) = -0.256 Ha/atom
&SYSTEM
  ibrav = 0, nat = 20, ntyp = 4
/
ATOMIC_SPECIES
Np 237.00 Np.upf
Co 58.93 Co.upf
H 1.01 H.upf
O 16.00 O.upf
ATOMIC_POSITIONS crystal
Np 0.243 0.757 0.750
Np 0.757 0.243 0.250
Co 0.423 0.577 0.250
Co 0.577 0.423 0.750
H 0.142 0.159 0.293
H 0.159 0.142 0.793
H 0.841 0.858 0.207
H 0.858 0.841 0.707
O 0.045 0.205 0.143
O 0.169 0.647 0.395
O 0.205 0.045 0.643
O 0.329 0.477 0.896
O 0.353 0.831 0.105
O 0.477 0.329 0.396
O 0.523 0.671 0.604
O 0.647 0.169 0.895
O 0.671 0.523 0.104
O 0.795 0.955 0.357
O 0.831 0.353 0.605
O 0.955 0.795 0.857
CELL_PARAMETERS angstrom
5.285 -4.482 0.000
5.285 4.482 0.000
-0.788 0.000 4.997